(1)
The following is a PBE calculation of crystalline YSi2Ni at its relaxed geometry, from Alexandria.

Properties
**Total energy**: -52.911 eV per cell
**Symmetry**: Cmcm
**N(E_F)**: 3.02 states/eV/cell
**Raw formation energy**: -0.841 eV/atom

Lattice parameters (Å, degrees): 3.9688 4.0092 8.4724 103.68 90.00 90.00
Fractional coordinates of all 8 atoms:
Y 0.2500 0.8949 0.7902
Y 0.7500 0.1051 0.2098
Ni 0.7500 0.3209 0.6439
Ni 0.2500 0.6791 0.3561
Si 0.2500 0.2508 0.4998
Si 0.7500 0.7492 0.5002
Si 0.7500 0.4600 0.9190
Si 0.2500 0.5400 0.0810

***

(2)
The following is a PBE calculation of crystalline YSi2Ni2 at its relaxed geometry, from Alexandria.

Properties
**Total energy**: -61.105 eV per cell
**Symmetry**: P4/mbm
**N(E_F)**: 5.59 states/eV/cell
**Raw formation energy**: -0.336 eV/atom

Lattice parameters (Å, degrees): 7.2904 7.2904 2.6900 90.00 90.00 90.00
Fractional coordinates of all 10 atoms:
Y 0.0000 0.0000 0.0000
Y 0.5000 0.5000 0.0000
Ni 0.1475 0.6475 0.5000
Ni 0.6475 0.8525 0.5000
Ni 0.8525 0.3525 0.5000
Ni 0.3525 0.1475 0.5000
Si 0.3651 0.8651 0.0000
Si 0.8651 0.6349 0.0000
Si 0.6349 0.1349 0.0000
Si 0.1349 0.3651 0.0000

***

(3)
The following is a PBE calculation of crystalline YSi2Ni2 at its relaxed geometry, from Alexandria.

Properties
**Total energy**: -33.164 eV per cell
**Symmetry**: I4/mmm
**N(E_F)**: 3.17 states/eV/cell
**Raw formation energy**: -0.858 eV/atom

Lattice parameters (Å, degrees): 3.9711 3.9711 5.5387 68.99 68.99 90.00
Fractional coordinates of all 5 atoms:
Y 0.0000 0.0000 0.0000
Ni 0.7500 0.2500 0.5000
Ni 0.2500 0.7500 0.5000
Si 0.3731 0.3731 0.2538
Si 0.6269 0.6269 0.7462

***

(4)
The following is a PBE calculation of crystalline YSi4Ni12 at its relaxed geometry, from Alexandria.

Properties
**Total energy**: -98.264 eV per cell
**Symmetry**: Im-3
**N(E_F)**: 6.06 states/eV/cell
**Raw formation energy**: -0.043 eV/atom

Lattice parameters (Å, degrees): 6.7198 6.7198 6.7198 109.47 109.47 109.47
Fractional coordinates of all 17 atoms:
Y 0.0000 0.0000 0.0000
Si 0.0000 0.5000 0.0000
Si 0.5000 0.0000 0.0000
Si 0.5000 0.5000 0.5000
Si 0.0000 0.0000 0.5000
Ni 0.8405 0.3505 0.1911
Ni 0.3505 0.5100 0.1595
Ni 0.8089 0.1595 0.6495
Ni 0.3505 0.1911 0.8405
Ni 0.1911 0.8405 0.3505
Ni 0.6495 0.4900 0.8405
Ni 0.5100 0.1595 0.3505
Ni 0.4900 0.8405 0.6495
Ni 0.6495 0.8089 0.1595
Ni 0.8405 0.6495 0.4900
Ni 0.1595 0.3505 0.5100
Ni 0.1595 0.6495 0.8089

***

(5)
The following is a PBE calculation of crystalline YSi2Ni at its relaxed geometry, from Alexandria.

Properties
**Total energy**: -25.762 eV per cell
**Symmetry**: R3m
**N(E_F)**: 2.30 states/eV/cell
**Raw formation energy**: -0.668 eV/atom

Lattice parameters (Å, degrees): 3.8576 3.8576 5.8110 70.62 70.62 59.98
Fractional coordinates of all 4 atoms:
Ni 0.6801 0.6801 0.9598
Si 0.0406 0.0406 0.8780
Si 0.2882 0.2882 0.1361
Y 0.4911 0.4911 0.5261

***

(6)
The following is a PBE calculation of crystalline YSi2Ni at its relaxed geometry, from Alexandria.

Properties
**Total energy**: -23.987 eV per cell
**Symmetry**: I-4m2
**N(E_F)**: 1.79 states/eV/cell
**Raw formation energy**: -0.224 eV/atom

Lattice parameters (Å, degrees): 5.0839 5.0839 5.0839 134.10 134.10 66.94
Fractional coordinates of all 4 atoms:
Ni 0.7500 0.2500 0.5000
Si 0.0000 0.0000 0.0000
Si 0.2500 0.7500 0.5000
Y 0.5000 0.5000 0.0000

***

(7)
The following is a PBE calculation of crystalline YSi2Ni4 at its relaxed geometry, from Alexandria.

Properties
**Total energy**: -35.057 eV per cell
**Energy relative to the lowest polymorph listed for this composition**: 1339 meV/atom
**Symmetry**: I4/mmm
**N(E_F)**: 5.64 states/eV/cell
**Raw formation energy**: 0.768 eV/atom

Lattice parameters (Å, degrees): 4.6148 4.6148 6.8818 70.41 70.41 90.00
Fractional coordinates of all 7 atoms:
Y 0.0000 0.0000 0.0000
Ni 0.7748 0.7748 0.4505
Ni 0.2252 0.2252 0.5495
Ni 0.0000 0.5000 0.0000
Ni 0.5000 0.0000 0.0000
Si 0.5968 0.5968 0.8065
Si 0.4032 0.4032 0.1935

***

(8)
The following is a PBE calculation of crystalline YSi2Ni5 at its relaxed geometry, from Alexandria.

Properties
**Total energy**: -51.074 eV per cell
**Symmetry**: Immm
**N(E_F)**: 4.42 states/eV/cell
**Raw formation energy**: -0.607 eV/atom

Lattice parameters (Å, degrees): 3.5901 5.8938 5.8938 68.02 72.27 72.27
Fractional coordinates of all 8 atoms:
Y 0.0000 0.0000 0.0000
Si 0.7540 0.7460 0.7460
Si 0.2460 0.2540 0.2540
Ni 0.0000 0.5000 0.5000
Ni 0.6484 0.5398 0.1634
Ni 0.3516 0.4602 0.8366
Ni 0.3516 0.8366 0.4602
Ni 0.6484 0.1634 0.5398

***

Repeat the eighth record exactly.
The following is a PBE calculation of crystalline YSi2Ni5 at its relaxed geometry, from Alexandria.

Properties
**Total energy**: -51.074 eV per cell
**Symmetry**: Immm
**N(E_F)**: 4.42 states/eV/cell
**Raw formation energy**: -0.607 eV/atom

Lattice parameters (Å, degrees): 3.5901 5.8938 5.8938 68.02 72.27 72.27
Fractional coordinates of all 8 atoms:
Y 0.0000 0.0000 0.0000
Si 0.7540 0.7460 0.7460
Si 0.2460 0.2540 0.2540
Ni 0.0000 0.5000 0.5000
Ni 0.6484 0.5398 0.1634
Ni 0.3516 0.4602 0.8366
Ni 0.3516 0.8366 0.4602
Ni 0.6484 0.1634 0.5398